[1]
A relaxed HoTiHg2 crystal. Source: the Alexandria database, functional PBE.

Unit cell a=5.0190 b=5.0190 c=5.0190 alpha=60.00 beta=60.00 gamma=60.00
With the nearest neighbours (Å) after each atom.
Fractional coordinates of all 4 atoms:
Ho (0.0000, 0.0000, 0.0000)  8 Hg 3.07
Ti (0.5000, 0.5000, 0.5000)  8 Hg 3.07
Hg (0.2500, 0.2500, 0.2500)  4 Ho 3.07, 4 Ti 3.07
Hg (0.7500, 0.7500, 0.7500)  4 Ho 3.07, 4 Ti 3.07

## Properties
Calculated volume   89.4 Å³/cell
Total moment   0.42 μB/atom
Space-group type   Fm-3m
Energy above the most stable polymorph in this dataset   0.000 eV/atom
Formation enthalpy at 0 K   -187 meV/atom

=====

[2]
A relaxed Sc6CuS5 crystal. Source: the Alexandria database, functional PBE.

Unit cell a=6.4185 b=6.4185 c=6.4039 alpha=99.63 beta=99.63 gamma=120.13
With the nearest neighbours (Å) after each atom.
Fractional coordinates of all 12 atoms:
Sc (0.0815, 0.4181, 0.7507)  5 S 2.60-2.63, 1 Cu 2.63
Sc (0.2484, 0.2484, 0.2504)  5 S 2.60-2.63, 1 Cu 2.63
Sc (0.4181, 0.0815, 0.7507)  5 S 2.60-2.63, 1 Cu 2.63
Sc (0.5819, 0.9185, 0.2493)  5 S 2.60-2.63, 1 Cu 2.63
Sc (0.7516, 0.7516, 0.7496)  5 S 2.60-2.63, 1 Cu 2.63
Sc (0.9185, 0.5819, 0.2493)  5 S 2.60-2.63, 1 Cu 2.63
Cu (0.5000, 0.5000, 0.0000)  6 Sc 2.63
S (0.0000, 0.0000, 0.5000)  6 Sc 2.61-2.63
S (0.1656, 0.8344, 0.0000)  6 Sc 2.60-2.61
S (0.3322, 0.6678, 0.5000)  6 Sc 2.60-2.63
S (0.6678, 0.3322, 0.5000)  6 Sc 2.60-2.63
S (0.8344, 0.1656, 0.0000)  6 Sc 2.60-2.61

## Properties
Total energy   -6.825 eV/atom
Calculated volume   215.0 Å³/cell
Total moment   0.00 μB/atom
Space-group type   C2/m

=====

[3]
A relaxed Rb3NpAg2I9 crystal. Source: the Alexandria database, functional PBE.

Unit cell a=8.5722 b=8.5722 c=10.5337 alpha=90.00 beta=90.00 gamma=120.00
With the nearest neighbours (Å) after each atom.
Fractional coordinates of all 15 atoms:
Rb (0.0000, 0.0000, 0.0000)  12 I 4.29-4.30
Rb (0.3333, 0.6667, 0.7254)  3 I 3.81
Rb (0.6667, 0.3333, 0.2746)  3 I 3.81
Np (0.0000, 0.0000, 0.5000)  6 I 3.02
Ag (0.3333, 0.6667, 0.1445)  6 I 2.91-3.19
Ag (0.6667, 0.3333, 0.8555)  6 I 2.91-3.19
I (0.0000, 0.5000, 0.0000)  2 Ag 2.91
I (0.1657, 0.3315, 0.3343)  1 Np 3.02, 1 Ag 3.19
I (0.1657, 0.8343, 0.3343)  1 Np 3.02, 1 Ag 3.19
I (0.3315, 0.1657, 0.6657)  1 Np 3.02, 1 Ag 3.19
I (0.5000, 0.0000, 0.0000)  2 Ag 2.91
I (0.5000, 0.5000, 0.0000)  2 Ag 2.91
I (0.6685, 0.8343, 0.3343)  1 Np 3.02, 1 Ag 3.19
I (0.8343, 0.1657, 0.6657)  1 Np 3.02, 1 Ag 3.19
I (0.8343, 0.6685, 0.6657)  1 Np 3.02, 1 Ag 3.19

## Properties
Total energy   -3.254 eV/atom
Calculated volume   670.3 Å³/cell
Total moment   0.20 μB/atom
Space-group type   P-3m1

=====

[4]
A relaxed Y12Sc3Hg5 crystal. Source: the Alexandria database, functional PBE.

Unit cell a=15.5221 b=15.5221 c=15.5221 alpha=109.47 beta=109.47 gamma=109.47
With the nearest neighbours (Å) after each atom.
Fractional coordinates of all 80 atoms:
Y (0.0559, 0.2215, 0.1301)  2 Hg 2.96-2.98, 1 Sc 3.20
Y (0.0559, 0.3344, 0.9258)  2 Hg 2.96-2.98, 1 Sc 3.20
Y (0.0742, 0.6301, 0.4086)  2 Hg 2.96-2.98, 1 Sc 3.20
Y (0.0742, 0.9441, 0.6656)  2 Hg 2.96-2.98, 1 Sc 3.20
Y (0.0914, 0.7215, 0.6656)  2 Hg 2.96-2.98, 1 Sc 3.20
Y (0.0914, 0.8699, 0.4258)  2 Hg 2.96-2.98, 1 Sc 3.20
Y (0.1301, 0.0559, 0.2215)  2 Hg 2.96-2.98, 1 Sc 3.20
Y (0.1301, 0.5742, 0.9086)  2 Hg 2.96-2.98, 1 Sc 3.20
Y (0.1656, 0.2215, 0.5914)  2 Hg 2.96-2.98, 1 Sc 3.20
Y (0.1656, 0.4441, 0.5742)  2 Hg 2.96-2.98, 1 Sc 3.20
Y (0.2215, 0.1301, 0.0559)  2 Hg 2.96-2.98, 1 Sc 3.20
Y (0.2215, 0.5914, 0.1656)  2 Hg 2.96-2.98, 1 Sc 3.20
Y (0.2785, 0.3344, 0.9086)  2 Hg 2.96-2.98, 1 Sc 3.20
Y (0.2785, 0.4441, 0.3699)  2 Hg 2.96-2.98, 1 Sc 3.20
Y (0.3344, 0.9086, 0.2785)  2 Hg 2.96-2.98, 1 Sc 3.20
Y (0.3344, 0.9258, 0.0559)  2 Hg 2.96-2.98, 1 Sc 3.20
Y (0.3699, 0.2785, 0.4441)  2 Hg 2.96-2.98, 1 Sc 3.20
Y (0.3699, 0.5914, 0.9258)  2 Hg 2.96-2.98, 1 Sc 3.20
Y (0.4086, 0.0742, 0.6301)  2 Hg 2.96-2.98, 1 Sc 3.20
Y (0.4086, 0.8344, 0.7785)  2 Hg 2.96-2.98, 1 Sc 3.20
Y (0.4258, 0.0914, 0.8699)  2 Hg 2.96-2.98, 1 Sc 3.20
Y (0.4258, 0.8344, 0.5559)  2 Hg 2.96-2.98, 1 Sc 3.20
Y (0.4441, 0.3699, 0.2785)  2 Hg 2.96-2.98, 1 Sc 3.20
Y (0.4441, 0.5742, 0.1656)  2 Hg 2.96-2.98, 1 Sc 3.20
Y (0.5559, 0.4258, 0.8344)  2 Hg 2.96-2.98, 1 Sc 3.20
Y (0.5559, 0.6301, 0.7215)  2 Hg 2.96-2.98, 1 Sc 3.20
Y (0.5742, 0.1656, 0.4441)  2 Hg 2.96-2.98, 1 Sc 3.20
Y (0.5742, 0.9086, 0.1301)  2 Hg 2.96-2.98, 1 Sc 3.20
Y (0.5914, 0.1656, 0.2215)  2 Hg 2.96-2.98, 1 Sc 3.20
Y (0.5914, 0.9258, 0.3699)  2 Hg 2.96-2.98, 1 Sc 3.20
Y (0.6301, 0.4086, 0.0742)  2 Hg 2.96-2.98, 1 Sc 3.20
Y (0.6301, 0.7215, 0.5559)  2 Hg 2.96-2.98, 1 Sc 3.20
Y (0.6656, 0.0742, 0.9441)  2 Hg 2.96-2.98, 1 Sc 3.20
Y (0.6656, 0.0914, 0.7215)  2 Hg 2.96-2.98, 1 Sc 3.20
Y (0.7215, 0.5559, 0.6301)  2 Hg 2.96-2.98, 1 Sc 3.20
Y (0.7215, 0.6656, 0.0914)  2 Hg 2.96-2.98, 1 Sc 3.20
Y (0.7785, 0.4086, 0.8344)  2 Hg 2.96-2.98, 1 Sc 3.20
Y (0.7785, 0.8699, 0.9441)  2 Hg 2.96-2.98, 1 Sc 3.20
Y (0.8344, 0.5559, 0.4258)  2 Hg 2.96-2.98, 1 Sc 3.20
Y (0.8344, 0.7785, 0.4086)  2 Hg 2.96-2.98, 1 Sc 3.20
Y (0.8699, 0.4258, 0.0914)  2 Hg 2.96-2.98, 1 Sc 3.20
Y (0.8699, 0.9441, 0.7785)  2 Hg 2.96-2.98, 1 Sc 3.20
Y (0.9086, 0.1301, 0.5742)  2 Hg 2.96-2.98, 1 Sc 3.20
Y (0.9086, 0.2785, 0.3344)  2 Hg 2.96-2.98, 1 Sc 3.20
Y (0.9258, 0.0559, 0.3344)  2 Hg 2.96-2.98, 1 Sc 3.20
Y (0.9258, 0.3699, 0.5914)  2 Hg 2.96-2.98, 1 Sc 3.20
Y (0.9441, 0.6656, 0.0742)  2 Hg 2.96-2.98, 1 Sc 3.20
Y (0.9441, 0.7785, 0.8699)  2 Hg 2.96-2.98, 1 Sc 3.20
Sc (0.1250, 0.2500, 0.3750)  8 Y 3.20-3.41
Sc (0.1250, 0.3750, 0.7500)  8 Y 3.20-3.41
Sc (0.2500, 0.3750, 0.1250)  8 Y 3.20-3.41
Sc (0.2500, 0.8750, 0.6250)  8 Y 3.20-3.41
Sc (0.3750, 0.1250, 0.2500)  8 Y 3.20-3.41
Sc (0.3750, 0.7500, 0.1250)  8 Y 3.20-3.41
Sc (0.6250, 0.2500, 0.8750)  8 Y 3.20-3.41
Sc (0.6250, 0.8750, 0.7500)  8 Y 3.20-3.41
Sc (0.7500, 0.1250, 0.3750)  8 Y 3.20-3.41
Sc (0.7500, 0.6250, 0.8750)  8 Y 3.20-3.41
Sc (0.8750, 0.6250, 0.2500)  8 Y 3.20-3.41
Sc (0.8750, 0.7500, 0.6250)  8 Y 3.20-3.41
Hg (0.0000, 0.0000, 0.0000)  6 Y 2.98
Hg (0.0000, 0.0000, 0.5000)  6 Y 2.98
Hg (0.0000, 0.5000, 0.0000)  6 Y 2.98
Hg (0.0000, 0.5000, 0.5000)  6 Y 2.98
Hg (0.1250, 0.7500, 0.8750)  4 Y 2.96
Hg (0.1250, 0.8750, 0.2500)  4 Y 2.96
Hg (0.2500, 0.1250, 0.8750)  4 Y 2.96
Hg (0.2500, 0.6250, 0.3750)  4 Y 2.96
Hg (0.3750, 0.2500, 0.6250)  4 Y 2.96
Hg (0.3750, 0.6250, 0.7500)  4 Y 2.96
Hg (0.5000, 0.0000, 0.0000)  6 Y 2.98
Hg (0.5000, 0.0000, 0.5000)  6 Y 2.98
Hg (0.5000, 0.5000, 0.0000)  6 Y 2.98
Hg (0.5000, 0.5000, 0.5000)  6 Y 2.98
Hg (0.6250, 0.3750, 0.2500)  4 Y 2.96
Hg (0.6250, 0.7500, 0.3750)  4 Y 2.96
Hg (0.7500, 0.3750, 0.6250)  4 Y 2.96
Hg (0.7500, 0.8750, 0.1250)  4 Y 2.96
Hg (0.8750, 0.1250, 0.7500)  4 Y 2.96
Hg (0.8750, 0.2500, 0.1250)  4 Y 2.96

## Properties
Calculated volume   2878.9 Å³/cell
Total moment   0.24 μB/atom
Space-group type   Ia-3d
Formation enthalpy at 0 K   361 meV/atom

=====

[5]
A relaxed Pr2GaIr crystal. Source: the Alexandria database, functional PBE.

Unit cell a=6.0083 b=4.3470 c=8.2155 alpha=90.00 beta=108.91 gamma=90.00
With the nearest neighbours (Å) after each atom.
Fractional coordinates of all 8 atoms:
Pr (0.1859, 0.2500, 0.4131)  3 Ir 3.03-3.13, 4 Ga 3.12-3.20
Pr (0.2736, 0.7500, 0.0607)  4 Ir 3.06-3.31, 3 Ga 3.08-3.22
Pr (0.7264, 0.2500, 0.9393)  4 Ir 3.06-3.31, 3 Ga 3.08-3.22
Pr (0.8141, 0.7500, 0.5869)  3 Ir 3.03-3.13, 4 Ga 3.12-3.20
Ga (0.3623, 0.7500, 0.7124)  2 Ir 2.69
Ga (0.6377, 0.2500, 0.2876)  2 Ir 2.69
Ir (0.1450, 0.2500, 0.7830)  2 Ga 2.69
Ir (0.8550, 0.7500, 0.2170)  2 Ga 2.69

## Properties
Calculated volume   203.0 Å³/cell
Total moment   0.00 μB/atom
Space-group type   P2_1/m
Formation enthalpy at 0 K   -629 meV/atom

=====

[6]
A relaxed SrGa12Cu4 crystal. Source: the Alexandria database, functional PBE.

Unit cell a=7.5431 b=7.5431 c=7.5431 alpha=109.47 beta=109.47 gamma=109.47
With the nearest neighbours (Å) after each atom.
Fractional coordinates of all 17 atoms:
Sr (0.0000, 0.0000, 0.0000)  12 Ga 3.34
Ga (0.1595, 0.5083, 0.3487)  2 Cu 2.47, 1 Ga 2.63
Ga (0.1595, 0.8108, 0.6513)  2 Cu 2.47, 1 Ga 2.63
Ga (0.1892, 0.3487, 0.8405)  2 Cu 2.47, 1 Ga 2.63
Ga (0.3487, 0.1595, 0.5083)  2 Cu 2.47, 1 Ga 2.63
Ga (0.3487, 0.8405, 0.1892)  2 Cu 2.47, 1 Ga 2.63
Ga (0.4917, 0.6513, 0.8405)  2 Cu 2.47, 1 Ga 2.63
Ga (0.5083, 0.3487, 0.1595)  2 Cu 2.47, 1 Ga 2.63
Ga (0.6513, 0.1595, 0.8108)  2 Cu 2.47, 1 Ga 2.63
Ga (0.6513, 0.8405, 0.4917)  2 Cu 2.47, 1 Ga 2.63
Ga (0.8108, 0.6513, 0.1595)  2 Cu 2.47, 1 Ga 2.63
Ga (0.8405, 0.1892, 0.3487)  2 Cu 2.47, 1 Ga 2.63
Ga (0.8405, 0.4917, 0.6513)  2 Cu 2.47, 1 Ga 2.63
Cu (0.0000, 0.0000, 0.5000)  6 Ga 2.47
Cu (0.0000, 0.5000, 0.0000)  6 Ga 2.47
Cu (0.5000, 0.0000, 0.0000)  6 Ga 2.47
Cu (0.5000, 0.5000, 0.5000)  6 Ga 2.47

## Properties
Calculated volume   330.4 Å³/cell
Total moment   0.00 μB/atom
Space-group type   Im-3
Formation enthalpy at 0 K   -25 meV/atom

=====

[7]
A relaxed Tl3Cd crystal. Source: the Alexandria database, functional PBE.

Unit cell a=6.2080 b=6.2080 c=6.2080 alpha=90.00 beta=90.00 gamma=90.00
With the nearest neighbours (Å) after each atom.
Fractional coordinates of all 8 atoms:
Tl (0.0000, 0.2500, 0.5000)  2 Tl 3.10, 4 Cd 3.47
Tl (0.0000, 0.7500, 0.5000)  2 Tl 3.10, 4 Cd 3.47
Tl (0.2500, 0.5000, 0.0000)  2 Tl 3.10, 4 Cd 3.47
Tl (0.5000, 0.0000, 0.2500)  2 Tl 3.10, 4 Cd 3.47
Tl (0.5000, 0.0000, 0.7500)  2 Tl 3.10, 4 Cd 3.47
Tl (0.7500, 0.5000, 0.0000)  2 Tl 3.10, 4 Cd 3.47
Cd (0.0000, 0.0000, 0.0000)  12 Tl 3.47
Cd (0.5000, 0.5000, 0.5000)  12 Tl 3.47

## Properties
Calculated volume   239.3 Å³/cell
Total moment   0.00 μB/atom
Space-group type   Pm-3n
Formation enthalpy at 0 K   53 meV/atom

=====

[8]
A relaxed TlV2Te crystal. Source: the Alexandria database, functional PBE.

Unit cell a=4.6942 b=4.6942 c=4.6942 alpha=60.00 beta=60.00 gamma=60.00
With the nearest neighbours (Å) after each atom.
Fractional coordinates of all 4 atoms:
Tl (0.0000, 0.0000, 0.0000)  8 V 2.87
V (0.2500, 0.2500, 0.2500)  4 Tl 2.87, 4 Te 2.87
V (0.7500, 0.7500, 0.7500)  4 Tl 2.87, 4 Te 2.87
Te (0.5000, 0.5000, 0.5000)  8 V 2.87

## Properties
Calculated volume   73.1 Å³/cell
Total moment   0.00 μB/atom
Space-group type   Fm-3m
Energy above the most stable polymorph in this dataset   0.000 eV/atom

=====

[9]
A relaxed Pr2NdZn2Ga2 crystal. Source: the Alexandria database, functional PBE.

Unit cell a=10.0297 b=10.0297 c=10.0297 alpha=26.06 beta=26.06 gamma=26.06
With the nearest neighbours (Å) after each atom.
Fractional coordinates of all 7 atoms:
Pr (0.1266, 0.1266, 0.1266)  3 Ga 3.13, 3 Zn 3.18, 3 Pr 3.50
Pr (0.8734, 0.8734, 0.8734)  3 Ga 3.13, 3 Zn 3.18, 3 Pr 3.50
Nd (0.0000, 0.0000, 0.0000)  6 Zn 3.21, 6 Ga 3.26
Zn (0.3974, 0.3974, 0.3974)  3 Ga 2.61
Zn (0.6026, 0.6026, 0.6026)  3 Ga 2.61
Ga (0.2661, 0.2661, 0.2661)  3 Zn 2.61
Ga (0.7339, 0.7339, 0.7339)  3 Zn 2.61

## Properties
Calculated volume   171.6 Å³/cell
Total moment   0.00 μB/atom
Space-group type   R-3m
Formation enthalpy at 0 K   -398 meV/atom

=====

[10]
A relaxed TaRh2Br crystal. Source: the Alexandria database, functional PBE.

Unit cell a=3.2578 b=3.2010 c=7.2508 alpha=90.00 beta=90.11 gamma=90.00
With the nearest neighbours (Å) after each atom.
Fractional coordinates of all 4 atoms:
Ta (0.0000, 0.0000, 0.0000)  8 Rh 2.67-2.68
Rh (0.5004, 0.5000, 0.1921)  4 Ta 2.67-2.68, 2 Br 2.75, 1 Rh 2.79
Rh (0.4996, 0.5000, 0.8079)  4 Ta 2.67-2.68, 2 Br 2.75, 1 Rh 2.79
Br (0.5000, 0.0000, 0.5000)  4 Rh 2.75

## Properties
Calculated volume   75.6 Å³/cell
Total moment   0.00 μB/atom
Space-group type   P2/m
Energy above the most stable polymorph in this dataset   0.000 eV/atom

=====

Question: Which value of total moment does entry 6 give?
Answer: 0.00 μB/atom

=====

Question: The lowest calculated volume belongs to which entry?
Answer: TlV2Te

=====

Question: The highest calculated volume belongs to which entry?
Answer: Y12Sc3Hg5